# Li4InGaNi2

Crystalline Li4InGaNi2 at its relaxed geometry (PBE, the Open Quantum Materials Database).

## Properties
VASP energy in eV/atom: -3.318
Volume in Å³ per atom: 13.6

Cell: 4.2394 4.2394 6.0732 Å, 90.00 90.00 90.00°
Space group P-4m2 (No. 115)
Inequivalent atoms, fractional coordinates:
Li: 0.0000 0.0000 0.0000 [1 per cell]
Li: 0.0000 0.5000 0.2321 [2 per cell]
Li: 0.5000 0.5000 0.5000 [1 per cell]
In: 0.0000 0.0000 0.5000 [1 per cell]
Ga: 0.5000 0.5000 0.0000 [1 per cell]
Ni: 0.0000 0.5000 0.7710 [2 per cell]

---

# ZnPt2

Crystalline ZnPt2 at its relaxed geometry (PBE, the Open Quantum Materials Database).

## Properties
DFT formation energy in eV/atom: 1.9463
Volume in Å³ per atom: 55.2

Cell: 10.9810 10.9810 10.9810 Å, 90.00 90.00 90.00°
Space group Fd-3m (No. 227, origin choice 2)
Inequivalent atoms, fractional coordinates:
Zn: 0.1250 0.1250 0.1250 [8 per cell]
Pt: 0.0000 0.0000 0.0000 [16 per cell]

---

# BeZnCoIr

Crystalline BeZnCoIr at its relaxed geometry (PBE, the Open Quantum Materials Database).

## Properties
Volume in Å³ per atom: 11.7
Relative energy among the computed polymorphs in kcal/mol of atoms: 0.00

Cell: 5.7145 5.7145 5.7145 Å, 90.00 90.00 90.00°
Space group F-43m (No. 216)
Inequivalent atoms, fractional coordinates:
Be: 0.0000 0.0000 0.0000 [4 per cell]
Zn: 0.0000 0.0000 0.5000 [4 per cell]
Co: 0.2500 0.2500 0.7500 [4 per cell]
Ir: 0.2500 0.2500 0.2500 [4 per cell]

---

# Zr2Bi2Pd

Crystalline Zr2Bi2Pd at its relaxed geometry (PBE, the Open Quantum Materials Database).

## Properties
Volume in Å³ per atom: 25.2
Relative energy among the computed polymorphs in kcal/mol of atoms: 0.00

Cell: 4.3579 4.3579 13.2696 Å, 90.00 90.00 90.00°
Space group I4/mmm (No. 139)
Inequivalent atoms, fractional coordinates:
Zr: 0.0000 0.0000 0.0935 [4 per cell]
Bi: 0.0000 0.5000 0.2500 [4 per cell]
Pd: 0.0000 0.0000 0.5000 [2 per cell]

---

# LiGePt2

Crystalline LiGePt2 at its relaxed geometry (PBE, the Open Quantum Materials Database).

## Properties
VASP energy in eV/atom: -5.001
Volume in Å³ per atom: 15.0

Cell: 6.2188 6.2188 6.2188 Å, 90.00 90.00 90.00°
Space group F-43m (No. 216)
Inequivalent atoms, fractional coordinates:
Li: 0.0000 0.0000 0.0000 [4 per cell]
Ge: 0.2500 0.2500 0.7500 [4 per cell]
Pt: 0.0000 0.0000 0.5000 [4 per cell]
Pt: 0.2500 0.2500 0.2500 [4 per cell]

---

# P2Au2S7

Crystalline P2Au2S7 at its relaxed geometry (PBE, the Open Quantum Materials Database).

## Properties
VASP energy in eV/atom: -4.271
Volume in Å³ per atom: 23.3

Cell: 9.5175 6.3055 8.9008 Å, 90.00 106.31 90.00°
Space group C2 (No. 5)
Inequivalent atoms, fractional coordinates:
P: 0.0873 0.0000 0.2021 [4 per cell]
Au: 0.2128 0.5151 0.2658 [4 per cell]
S: 0.0000 0.1969 0.0000 [2 per cell]
S: 0.0479 0.7815 0.7453 [4 per cell]
S: 0.1335 0.2198 0.3782 [4 per cell]
S: 0.2406 0.3400 0.8386 [4 per cell]

---

# Cu2Ag

Crystalline Cu2Ag at its relaxed geometry (PBE, the Open Quantum Materials Database).

## Properties
DFT formation energy in eV/atom: 0.0762
Volume in Å³ per atom: 13.9
Relative energy among the computed polymorphs in kcal/mol of atoms: 0.70

Cell: 13.4199 2.7885 6.8052 Å, 90.00 101.62 90.00°
Space group C2/m (No. 12)
Inequivalent atoms, fractional coordinates:
Cu: 0.1149 0.0000 0.2186 [4 per cell]
Cu: 0.1778 0.5000 0.5295 [4 per cell]
Cu: 0.2409 0.0000 0.8407 [4 per cell]
Ag: 0.0000 0.0000 0.5000 [2 per cell]
Ag: 0.0719 0.5000 0.8689 [4 per cell]

---

# DyEr2Fe2Co6Ni

Crystalline DyEr2Fe2Co6Ni at its relaxed geometry (PBE, the Open Quantum Materials Database).

## Properties
DFT formation energy in eV/atom: -0.2108
Volume in Å³ per atom: 14.4

Cell: 4.9893 4.9893 23.9677 Å, 90.00 90.00 120.00°
Space group R-3m (No. 166, hexagonal axes)
Inequivalent atoms, fractional coordinates:
Dy: 0.0000 0.0000 0.0000 [3 per cell]
Er: 0.0000 0.0000 0.1402 [6 per cell]
Fe: 0.0000 0.0000 0.3347 [6 per cell]
Co: 0.0035 0.5018 0.9186 [18 per cell]
Ni: 0.0000 0.0000 0.5000 [3 per cell]